1.
Compound: CsAsI3
Source: Alexandria via LeMat-Bulk
Functional: PBE
Structure: optimized geometry

## Properties
For the energy above the most stable polymorph in this dataset, the calculation gives 453 meV per atom. Its density of states at the Fermi level is 4.5 states/eV/cell. The density is 4.89 g cm⁻³. As for the symmetry: P6_3/mmc. The energy relative to the elements, uncorrected comes out at -0.26 eV/atom.

CIF file:
```
data_CsAsI3
_cell_length_a 6.184
_cell_length_b 6.184
_cell_length_c 12.061
_cell_angle_alpha 90.00
_cell_angle_beta 90.00
_cell_angle_gamma 120.00
_space_group_name_H-M_alt 'P 1'
_space_group_IT_number 1
loop_
_space_group_symop_operation_xyz
'x,y,z'
loop_
_atom_site_label
_atom_site_type_symbol
_atom_site_fract_x
_atom_site_fract_y
_atom_site_fract_z
Cs1 Cs 0.333 0.667 0.250
Cs2 Cs 0.667 0.333 0.750
As1 As 0.000 0.000 0.000
As2 As 0.000 0.000 0.500
I1 I 0.000 0.000 0.250
I2 I 0.000 0.000 0.750
I3 I 0.333 0.667 0.551
I4 I 0.333 0.667 0.949
I5 I 0.667 0.333 0.051
I6 I 0.667 0.333 0.449
```

2.
Compound: CsAsI3
Source: Alexandria via LeMat-Bulk
Functional: PBE
Structure: optimized geometry

## Properties
For the energy above the most stable polymorph in this dataset, the calculation gives 183 meV per atom. Its density of states at the Fermi level is 0.0 states/eV/cell. The density is 2.88 g cm⁻³. As for the symmetry: R-3c. The energy relative to the elements, uncorrected comes out at -0.53 eV/atom.

CIF file:
```
data_CsAsI3
_cell_length_a 11.574
_cell_length_b 11.574
_cell_length_c 11.574
_cell_angle_alpha 43.98
_cell_angle_beta 43.98
_cell_angle_gamma 43.98
_space_group_name_H-M_alt 'P 1'
_space_group_IT_number 1
loop_
_space_group_symop_operation_xyz
'x,y,z'
loop_
_atom_site_label
_atom_site_type_symbol
_atom_site_fract_x
_atom_site_fract_y
_atom_site_fract_z
Cs1 Cs 0.000 0.000 0.000
Cs2 Cs 0.500 0.500 0.500
As1 As 0.250 0.250 0.250
As2 As 0.750 0.750 0.750
I1 I 0.069 0.750 0.431
I2 I 0.250 0.569 0.931
I3 I 0.431 0.069 0.750
I4 I 0.569 0.931 0.250
I5 I 0.750 0.431 0.069
I6 I 0.931 0.250 0.569
```

3.
Compound: CsAsI3
Source: Alexandria via LeMat-Bulk
Functional: PBE
Structure: optimized geometry

## Properties
For the energy above the most stable polymorph in this dataset, the calculation gives 135 meV per atom. Its density of states at the Fermi level is 0.0 states/eV/cell. The density is 3.75 g cm⁻³. As for the symmetry: Cmcm. The energy relative to the elements, uncorrected comes out at -0.58 eV/atom.

CIF file:
```
data_CsAsI3
_cell_length_a 7.922
_cell_length_b 7.922
_cell_length_c 8.356
_cell_angle_alpha 90.00
_cell_angle_beta 90.00
_cell_angle_gamma 83.97
_space_group_name_H-M_alt 'P 1'
_space_group_IT_number 1
loop_
_space_group_symop_operation_xyz
'x,y,z'
loop_
_atom_site_label
_atom_site_type_symbol
_atom_site_fract_x
_atom_site_fract_y
_atom_site_fract_z
Cs1 Cs 0.188 0.812 0.750
Cs2 Cs 0.812 0.188 0.250
As1 As 0.297 0.703 0.250
As2 As 0.703 0.297 0.750
I1 I 0.043 0.320 0.750
I2 I 0.320 0.043 0.250
I3 I 0.500 0.500 0.000
I4 I 0.500 0.500 0.500
I5 I 0.680 0.957 0.750
I6 I 0.957 0.680 0.250
```

4.
Compound: Cs2AsI
Source: Alexandria via LeMat-Bulk
Functional: PBE
Structure: optimized geometry

## Properties
For the energy above the most stable polymorph in this dataset, the calculation gives 0 meV per atom. Its density of states at the Fermi level is 8.0 states/eV/cell. The density is 4.02 g cm⁻³. As for the symmetry: Fm-3m. The energy relative to the elements, uncorrected comes out at -0.53 eV/atom.

CIF file:
```
data_Cs2AsI
_cell_length_a 6.488
_cell_length_b 6.488
_cell_length_c 6.488
_cell_angle_alpha 60.00
_cell_angle_beta 60.00
_cell_angle_gamma 60.00
_space_group_name_H-M_alt 'P 1'
_space_group_IT_number 1
loop_
_space_group_symop_operation_xyz
'x,y,z'
loop_
_atom_site_label
_atom_site_type_symbol
_atom_site_fract_x
_atom_site_fract_y
_atom_site_fract_z
Cs1 Cs 0.250 0.250 0.250
Cs2 Cs 0.750 0.750 0.750
As1 As 0.000 0.000 0.000
I1 I 0.500 0.500 0.500
```

Result set for raw total energy: -22.9; -25.6; -26.1; -10.0 eV for the cell shown, one per record in the order listed.